Cr11Ru4 (GGA-PBEsol, relaxed); ΔH_f (0 K) = 0.081 eV per atom; final energy = -10.143 eV/atom; SG = No. 136
1.0
8.847 0.000 0.000
0.000 8.847 0.000
0.000 0.000 4.561
Cr Ru
22 8
Direct
0.000 0.000 0.000
0.061 0.252 0.000
0.092 0.092 0.500
0.187 0.813 0.253
0.187 0.813 0.747
0.248 0.561 0.500
0.252 0.061 0.000
0.313 0.313 0.247
0.313 0.313 0.753
0.408 0.592 0.000
0.439 0.752 0.500
0.500 0.500 0.500
0.561 0.248 0.500
0.592 0.408 0.000
0.687 0.687 0.247
0.687 0.687 0.753
0.748 0.939 0.000
0.752 0.439 0.500
0.813 0.187 0.253
0.813 0.187 0.747
0.908 0.908 0.500
0.939 0.748 0.000
0.034 0.358 0.500
0.142 0.534 0.000
0.358 0.034 0.500
0.466 0.858 0.000
0.534 0.142 0.000
0.642 0.966 0.500
0.858 0.466 0.000
0.966 0.642 0.500

CaMg2Te (GGA-PBEsol, relaxed); ΔE_f (raw) = -0.519 eV/atom; final energy = -2.793 eV/atom; SG = No. 71
1.0
-1.944 2.381 5.887
1.944 -2.381 5.887
1.944 2.381 -5.887
Ca Mg Te
1 2 1
Direct
0.000 0.000 0.000
0.277 0.777 0.500
0.723 0.223 0.500
0.500 0.500 0.000

> What is the final energy in the second record?

-2.793 eV/atom

> Look up the final energy of the second one.

-2.793 eV/atom